Record 1
Computed, not measured: a crystal of Be2AuSe relaxed with PBEsol at the meta-GGA SCAN level of DFT. Values from VASP.

```
&SYSTEM
  ibrav = 0, nat = 4, ntyp = 3
/
ATOMIC_SPECIES
Be 9.01 Be.upf
Au 196.97 Au.upf
Se 78.96 Se.upf
ATOMIC_POSITIONS angstrom
Be 0.0000 0.0000 0.0000
Be 6.9709 0.0000 1.9500
Au 2.2149 0.0000 0.6055
Se 4.7906 0.0000 1.3473
CELL_PARAMETERS angstrom
5.9178 -1.6119 0.0000
5.9178 1.6119 0.0000
-0.8701 0.0000 3.1037
```

Values from the calculation:
As for the uncorrected formation energy: -229 meV/atom. The density comes out at 8.244 g/cm³. As for the size of the total moment: 0.000 μB/atom.

=====

Record 2
Computed, not measured: a crystal of Cd2FeTe relaxed with PBEsol at the meta-GGA SCAN level of DFT. Values from VASP.

```
&SYSTEM
  ibrav = 0, nat = 4, ntyp = 3
/
ATOMIC_SPECIES
Cd 112.41 Cd.upf
Fe 55.84 Fe.upf
Te 127.60 Te.upf
ATOMIC_POSITIONS angstrom
Cd 0.0000 0.0000 1.7520
Cd 0.0000 0.0000 7.4313
Fe 2.0481 0.0000 0.0000
Te 2.0481 0.0000 4.5917
CELL_PARAMETERS angstrom
2.0481 -2.2066 0.0000
2.0481 2.2066 0.0000
0.0000 0.0000 9.1833
```

Values from the calculation:
As for the uncorrected formation energy: 286 meV/atom. The density comes out at 8.168 g/cm³. As for the size of the total moment: 0.661 μB/atom.

=====

Record 3
Computed, not measured: a crystal of Re2SbBr relaxed with PBEsol at the meta-GGA SCAN level of DFT. Values from VASP.

```
&SYSTEM
  ibrav = 0, nat = 4, ntyp = 3
/
ATOMIC_SPECIES
Re 186.21 Re.upf
Sb 121.76 Sb.upf
Br 79.90 Br.upf
ATOMIC_POSITIONS angstrom
Re 1.6065 1.6065 1.6065
Re 4.8195 4.8195 4.8195
Sb 0.0000 0.0000 0.0000
Br 3.2130 3.2130 3.2130
CELL_PARAMETERS angstrom
0.0000 3.2130 3.2130
3.2130 0.0000 3.2130
3.2130 3.2130 0.0000
```

Values from the calculation:
As for the uncorrected formation energy: 1341 meV/atom. The density comes out at 14.370 g/cm³. As for the size of the total moment: 0.000 μB/atom.